# Sb4O5F2 | the Alexandria database | PBE | relaxed
data_Sb4O5F2
_cell_length_a 11.112
_cell_length_b 5.510
_cell_length_c 14.337
_cell_angle_alpha 90.00
_cell_angle_beta 101.84
_cell_angle_gamma 90.00
_symmetry_space_group_name_H-M 'P 1 21 1'
_symmetry_Int_Tables_number 4
_symmetry_space_group_name_Hall 'P 2yb'
loop_
_atom_site_label
_atom_site_type_symbol
_atom_site_fract_x
_atom_site_fract_y
_atom_site_fract_z
Sb1 Sb 0.066 0.000 0.197
Sb2 Sb 0.072 0.985 0.926
Sb3 Sb 0.197 0.679 0.666
Sb4 Sb 0.256 0.605 0.412
Sb5 Sb 0.311 0.588 0.137
Sb6 Sb 0.342 0.180 0.814
Sb7 Sb 0.382 0.102 0.534
Sb8 Sb 0.415 0.101 0.269
O1 O 0.039 0.784 0.081
O2 O 0.080 0.288 0.115
O3 O 0.262 0.911 0.201
O4 O 0.266 0.744 0.549
O5 O 0.289 0.371 0.696
O6 O 0.307 0.411 0.258
O7 O 0.332 0.870 0.744
O8 O 0.353 0.925 0.405
O9 O 0.413 0.420 0.459
O10 O 0.480 0.733 0.191
F1 F 0.075 0.075 0.786
F2 F 0.129 0.597 0.850
F3 F 0.201 0.239 0.487
F4 F 0.421 0.235 0.128
# Crystal system   monoclinic
# Magnetic moment   0.00 μB per cell
# E   -249.41 eV/cell
# Raw formation energy   -152.0 kJ per mole of atoms
# Fermi-level density of states   0.000 states/eV per atom